(1)
Material: B3C2
Method: DFT, PBE
State: relaxed

Values from the calculation:
Energy above the most stable polymorph in this dataset ... 260 meV/atom
Symmetry ... Cm (8)
E_tot ... -7.225 eV per atom
Spin magnetization ... 0.0 μB/f.u.
Crystal system ... monoclinic

Cell lengths 4.819, 4.819, 7.165 Å; angles 121.57, 121.57, 31.54 degrees
Sites, in units of the cell vectors:
B1 0.000 0.000 0.000
B2 0.012 0.012 0.767
B3 0.215 0.215 0.794
B4 0.433 0.433 0.321
B5 0.645 0.645 0.214
B6 0.811 0.811 0.007
C1 0.221 0.221 0.573
C2 0.413 0.413 0.689
C3 0.634 0.634 0.434
C4 0.824 0.824 0.232

(2)
Material: BC
Method: DFT, PBE
State: relaxed

Values from the calculation:
Energy above the most stable polymorph in this dataset ... 222 meV/atom
Symmetry ... Cm (8)
E_tot ... -7.577 eV per atom
Spin magnetization ... 0.0 μB/f.u.
Crystal system ... monoclinic

Cell lengths 6.890, 6.890, 4.750 Å; angles 103.85, 103.85, 21.68 degrees
Sites, in units of the cell vectors:
B1 0.000 0.000 0.000
B2 0.068 0.068 0.656
B3 0.505 0.505 0.399
B4 0.680 0.680 0.233
B5 0.852 0.852 0.120
B6 0.872 0.872 0.772
C1 0.188 0.188 0.754
C2 0.224 0.224 0.466
C3 0.337 0.337 0.566
C4 0.385 0.385 0.319
C5 0.558 0.558 0.120
C6 0.729 0.729 0.928

(3)
Material: B3C5
Method: DFT, PBE
State: relaxed

Values from the calculation:
Energy above the most stable polymorph in this dataset ... 102 meV/atom
Symmetry ... C2 (5)
E_tot ... -7.893 eV per atom
Spin magnetization ... 0.0 μB/f.u.
Crystal system ... monoclinic

Cell lengths 4.314, 4.314, 3.532 Å; angles 109.16, 109.16, 56.12 degrees
Sites, in units of the cell vectors:
B1 0.000 0.000 0.000
B2 0.548 0.227 0.116
B3 0.773 0.452 0.884
C1 0.066 0.662 0.608
C2 0.182 0.295 0.739
C3 0.338 0.934 0.392
C4 0.416 0.584 0.500
C5 0.705 0.818 0.261

(4)
Material: B3C
Method: DFT, PBE
State: relaxed

Values from the calculation:
Energy above the most stable polymorph in this dataset ... 290 meV/atom
Symmetry ... P3m1 (156)
E_tot ... -6.784 eV per atom
Spin magnetization ... 0.0 μB/f.u.
Crystal system ... trigonal

Cell lengths 2.824, 2.824, 12.330 Å; angles 90.00, 90.00, 120.00 degrees
Sites, in units of the cell vectors:
B1 0.000 0.000 0.000
B2 0.000 0.000 0.138
B3 0.000 0.000 0.440
B4 0.333 0.667 0.199
B5 0.333 0.667 0.345
B6 0.667 0.333 0.235
B7 0.667 0.333 0.382
B8 0.667 0.333 0.761
B9 0.667 0.333 0.983
C1 0.000 0.000 0.569
C2 0.333 0.667 0.612
C3 0.333 0.667 0.743

(5)
Material: BC
Method: DFT, PBE
State: relaxed

Values from the calculation:
Energy above the most stable polymorph in this dataset ... 174 meV/atom
Symmetry ... Cm (8)
E_tot ... -7.626 eV per atom
Spin magnetization ... 0.0 μB/f.u.
Crystal system ... monoclinic

Cell lengths 7.117, 7.117, 4.623 Å; angles 108.56, 108.56, 21.62 degrees
Sites, in units of the cell vectors:
B1 0.000 0.000 0.000
B2 0.142 0.142 0.828
B3 0.329 0.329 0.610
B4 0.406 0.406 0.091
B5 0.503 0.503 0.548
B6 0.833 0.833 0.212
C1 0.123 0.123 0.148
C2 0.448 0.448 0.804
C3 0.627 0.627 0.639
C4 0.659 0.659 0.343
C5 0.777 0.777 0.460
C6 0.952 0.952 0.304

(6)
Material: BC
Method: DFT, PBE
State: relaxed

Values from the calculation:
Energy above the most stable polymorph in this dataset ... 294 meV/atom
Symmetry ... P1 (1)
E_tot ... -7.506 eV per atom
Spin magnetization ... 0.0 μB/f.u.
Crystal system ... triclinic

Cell lengths 4.481, 4.668, 4.669 Å; angles 60.32, 72.41, 83.08 degrees
Sites, in units of the cell vectors:
B1 0.000 0.000 0.000
B2 0.002 0.457 0.265
B3 0.148 0.407 0.900
B4 0.171 0.039 0.576
B5 0.566 0.718 0.112
B6 0.617 0.113 0.096
C1 0.018 0.735 0.610
C2 0.178 0.742 0.264
C3 0.522 0.416 0.778
C4 0.536 0.072 0.479
C5 0.651 0.371 0.461
C6 0.658 0.730 0.738